# 1
{
  "formula": "ThPaCoS4",
  "functional": "PBE-GGA",
  "state": "optimized geometry",
  "volume_a3_per_cell": 270.72,
  "dos_at_fermi_per_ev_atom": 0.40,
  "formation_energy_uncorrected_ev_per_atom": -1.47,
  "space_group": "No. 11",
  "lattice_angstrom": [[6.336, 0.000, 0.000], [0.000, 5.824, 0.000], [-2.236, 0.000, 7.336]],
  "species": ["Th", "Th", "Pa", "Pa", "Co", "Co", "S", "S", "S", "S", "S", "S", "S", "S"],
  "frac_coords": [[0.245, 0.250, 0.435], [0.755, 0.750, 0.565], [0.255, 0.250, 0.943], [0.745, 0.750, 0.057], [0.263, 0.750, 0.180], [0.737, 0.250, 0.820], [0.074, 0.750, 0.381], [0.078, 0.750, 0.897], [0.481, 0.509, 0.750], [0.481, 0.991, 0.750], [0.519, 0.009, 0.250], [0.519, 0.491, 0.250], [0.922, 0.250, 0.103], [0.926, 0.250, 0.619]]
}

---

# 2
{
  "formula": "Pa2TiCoS5",
  "functional": "PBE-GGA",
  "state": "optimized geometry",
  "volume_a3_per_cell": 318.16,
  "dos_at_fermi_per_ev_atom": 0.89,
  "formation_energy_uncorrected_ev_per_atom": -1.41,
  "space_group": "No. 36",
  "lattice_angstrom": [[1.822, -7.742, 0.000], [1.822, 7.742, 0.000], [0.000, 0.000, 11.278]],
  "species": ["Pa", "Pa", "Pa", "Pa", "Ti", "Ti", "Co", "Co", "S", "S", "S", "S", "S", "S", "S", "S", "S", "S"],
  "frac_coords": [[0.111, 0.889, 0.500], [0.122, 0.878, 0.857], [0.878, 0.122, 0.357], [0.889, 0.111, 0.000], [0.176, 0.824, 0.171], [0.824, 0.176, 0.671], [0.440, 0.560, 0.577], [0.560, 0.440, 0.077], [0.019, 0.981, 0.175], [0.306, 0.694, 0.524], [0.306, 0.694, 0.830], [0.340, 0.660, 0.176], [0.498, 0.502, 0.907], [0.502, 0.498, 0.407], [0.660, 0.340, 0.676], [0.694, 0.306, 0.024], [0.694, 0.306, 0.330], [0.981, 0.019, 0.675]]
}

---

# 3
{
  "formula": "Pa2Tl2CoS6",
  "functional": "PBE-GGA",
  "state": "optimized geometry",
  "volume_a3_per_cell": 292.58,
  "dos_at_fermi_per_ev_atom": 0.57,
  "formation_energy_uncorrected_ev_per_atom": -1.00,
  "space_group": "No. 12",
  "lattice_angstrom": [[3.303, -5.718, 0.000], [3.303, 5.718, 0.000], [-2.210, 0.000, 7.746]],
  "species": ["Pa", "Pa", "Tl", "Tl", "Co", "S", "S", "S", "S", "S", "S"],
  "frac_coords": [[0.163, 0.837, 0.000], [0.837, 0.163, 0.000], [0.332, 0.668, 0.500], [0.668, 0.332, 0.500], [0.500, 0.500, 0.000], [0.113, 0.439, 0.810], [0.254, 0.254, 0.191], [0.439, 0.113, 0.810], [0.561, 0.887, 0.190], [0.746, 0.746, 0.809], [0.887, 0.561, 0.190]]
}

---

# 4
{
  "formula": "Pa2TlCo2S6",
  "functional": "PBE-GGA",
  "state": "optimized geometry",
  "volume_a3_per_cell": 252.74,
  "dos_at_fermi_per_ev_atom": 0.68,
  "formation_energy_uncorrected_ev_per_atom": -0.97,
  "space_group": "No. 2",
  "lattice_angstrom": [[6.268, 0.000, 0.000], [-2.224, 6.610, 0.000], [-3.047, -2.398, 6.100]],
  "species": ["Pa", "Pa", "Tl", "Co", "Co", "S", "S", "S", "S", "S", "S"],
  "frac_coords": [[0.161, 0.327, 0.177], [0.839, 0.673, 0.823], [0.500, 0.000, 0.500], [0.309, 0.378, 0.810], [0.691, 0.622, 0.190], [0.071, 0.058, 0.804], [0.304, 0.646, 0.042], [0.325, 0.572, 0.592], [0.675, 0.428, 0.408], [0.696, 0.354, 0.958], [0.929, 0.942, 0.196]]
}